[1]
Entry from the Alexandria database: an optimized crystal structure of NaTaHg (PBE-GGA).

Output
Magnetization   0.00 Bohr magnetons per cell
Relative energy among the computed polymorphs   626.1 meV/atom
ΔH_f (0 K)   0.781 eV/atom
Calculated density   10.96 g cm⁻³
Crystal system   hexagonal

Cell: 4.922 4.922 5.841 Å, 90.00 90.00 120.00°
Fractional coordinates of all 6 atoms:
Na  0.000  0.000  0.500
Na  0.000  0.000  0.000
Hg  0.333  0.667  0.750
Hg  0.667  0.333  0.250
Ta  0.333  0.667  0.250
Ta  0.667  0.333  0.750

---

[2]
Entry from the Alexandria database: an optimized crystal structure of NaTaZnHg2 (PBE-GGA).

Output
Magnetization   0.00 Bohr magnetons per cell
ΔH_f (0 K)   1.296 eV/atom
Calculated density   9.98 g cm⁻³
Crystal system   tetragonal

Cell: 4.907 4.634 4.907 Å, 90.00 90.00 90.00°
Fractional coordinates of all 5 atoms:
Na  0.000  0.000  0.000
Hg  0.500  0.000  0.000
Hg  0.000  0.000  0.500
Ta  0.500  0.500  0.500
Zn  0.000  0.500  0.000

---

[3]
Entry from the Alexandria database: an optimized crystal structure of Na3Tb5Hg12 (PBE-GGA).

Output
Magnetization   0.00 Bohr magnetons per cell
ΔH_f (0 K)   0.030 eV/atom
Calculated density   8.44 g cm⁻³
Crystal system   cubic

Cell: 14.953 14.953 14.953 Å, 109.47 109.47 109.47°
Fractional coordinates of all 80 atoms:
Na  0.375  0.625  0.250
Na  0.875  0.125  0.250
Na  0.750  0.375  0.125
Na  0.875  0.750  0.125
Na  0.125  0.875  0.750
Na  0.250  0.125  0.375
Na  0.125  0.250  0.875
Na  0.250  0.625  0.875
Na  0.625  0.375  0.750
Na  0.375  0.750  0.625
Na  0.750  0.875  0.625
Na  0.625  0.250  0.375
Hg  0.925  0.086  0.853
Hg  0.767  0.428  0.353
Hg  0.839  0.914  0.267
Hg  0.914  0.075  0.647
Hg  0.586  0.733  0.661
Hg  0.086  0.925  0.353
Hg  0.428  0.767  0.853
Hg  0.086  0.161  0.233
Hg  0.414  0.147  0.575
Hg  0.733  0.147  0.072
Hg  0.572  0.339  0.925
Hg  0.575  0.928  0.661
Hg  0.339  0.572  0.425
Hg  0.353  0.928  0.767
Hg  0.853  0.586  0.925
Hg  0.839  0.925  0.072
Hg  0.661  0.233  0.586
Hg  0.267  0.853  0.928
Hg  0.267  0.414  0.839
Hg  0.572  0.233  0.147
Hg  0.928  0.353  0.267
Hg  0.425  0.353  0.586
Hg  0.575  0.647  0.414
Hg  0.733  0.586  0.161
Hg  0.233  0.661  0.086
Hg  0.925  0.839  0.572
Hg  0.339  0.767  0.414
Hg  0.586  0.853  0.425
Hg  0.928  0.575  0.161
Hg  0.425  0.072  0.339
Hg  0.353  0.425  0.086
Hg  0.147  0.733  0.572
Hg  0.072  0.425  0.839
Hg  0.914  0.839  0.767
Hg  0.853  0.267  0.428
Hg  0.661  0.428  0.575
Hg  0.161  0.086  0.733
Hg  0.072  0.647  0.733
Hg  0.647  0.072  0.233
Hg  0.428  0.661  0.075
Hg  0.647  0.575  0.914
Hg  0.233  0.572  0.647
Hg  0.414  0.267  0.339
Hg  0.075  0.914  0.147
Hg  0.767  0.339  0.914
Hg  0.161  0.075  0.928
Hg  0.075  0.161  0.428
Hg  0.147  0.414  0.075
Tb  0.500  0.500  0.500
Tb  0.875  0.625  0.750
Tb  0.250  0.875  0.125
Tb  0.375  0.250  0.125
Tb  0.000  0.000  0.000
Tb  0.625  0.875  0.250
Tb  0.000  0.500  0.500
Tb  0.750  0.125  0.875
Tb  0.750  0.625  0.375
Tb  0.000  0.500  0.000
Tb  0.500  0.500  0.000
Tb  0.125  0.375  0.250
Tb  0.625  0.750  0.875
Tb  0.250  0.375  0.625
Tb  0.000  0.000  0.500
Tb  0.500  0.000  0.000
Tb  0.375  0.125  0.750
Tb  0.875  0.250  0.625
Tb  0.125  0.750  0.375
Tb  0.500  0.000  0.500

---

[4]
Entry from the Alexandria database: an optimized crystal structure of NaTb3Hg5 (PBE-GGA).

Output
Magnetization   0.00 Bohr magnetons per cell
ΔH_f (0 K)   -0.372 eV/atom
Calculated density   10.98 g cm⁻³
Crystal system   hexagonal

Cell: 6.318 9.116 9.116 Å, 120.00 90.00 90.00°
Fractional coordinates of all 18 atoms:
Tb  0.750  0.361  0.361
Tb  0.250  0.639  0.639
Tb  0.750  0.000  0.639
Tb  0.250  0.361  0.000
Tb  0.250  0.000  0.361
Tb  0.750  0.639  0.000
Hg  0.250  0.694  0.000
Hg  0.500  0.667  0.333
Hg  0.250  0.000  0.694
Hg  0.250  0.306  0.306
Hg  0.750  0.306  0.000
Hg  0.000  0.333  0.667
Hg  0.750  0.000  0.306
Hg  0.750  0.694  0.694
Hg  0.500  0.333  0.667
Hg  0.000  0.667  0.333
Na  0.000  0.000  0.000
Na  0.500  0.000  0.000

---

[5]
Entry from the Alexandria database: an optimized crystal structure of Na4TbHg5 (PBE-GGA).

Output
Magnetization   0.00 Bohr magnetons per cell
ΔH_f (0 K)   -0.274 eV/atom
Calculated density   8.03 g cm⁻³
Crystal system   tetragonal

Cell: 3.742 3.742 18.512 Å, 90.00 90.00 90.00°
Fractional coordinates of all 10 atoms:
Hg  0.500  0.500  0.500
Hg  0.500  0.500  0.097
Hg  0.500  0.500  0.304
Hg  0.500  0.500  0.903
Hg  0.500  0.500  0.696
Tb  0.000  0.000  0.000
Na  0.000  0.000  0.800
Na  0.000  0.000  0.598
Na  0.000  0.000  0.402
Na  0.000  0.000  0.200

---

[6]
Entry from the Alexandria database: an optimized crystal structure of Na3TbHg12 (PBE-GGA).

Output
Magnetization   0.00 Bohr magnetons per cell
ΔH_f (0 K)   -0.217 eV/atom
Calculated density   10.82 g cm⁻³
Crystal system   tetragonal

Cell: 4.648 4.648 18.717 Å, 90.00 90.00 90.00°
Fractional coordinates of all 16 atoms:
Hg  0.500  0.000  0.373
Hg  0.000  0.500  0.877
Hg  0.500  0.500  0.246
Hg  0.500  0.000  0.123
Hg  0.500  0.500  0.000
Hg  0.500  0.500  0.754
Hg  0.500  0.500  0.500
Hg  0.000  0.500  0.373
Hg  0.000  0.500  0.627
Hg  0.500  0.000  0.627
Hg  0.500  0.000  0.877
Hg  0.000  0.500  0.123
Na  0.000  0.000  0.500
Na  0.000  0.000  0.752
Na  0.000  0.000  0.248
Tb  0.000  0.000  0.000

---

[7]
Entry from the Alexandria database: an optimized crystal structure of NaTb2Hg6 (PBE-GGA).

Output
Magnetization   0.00 Bohr magnetons per cell
Relative energy among the computed polymorphs   106.9 meV/atom
ΔH_f (0 K)   -0.213 eV/atom
Calculated density   11.23 g cm⁻³
Crystal system   monoclinic

Cell: 4.988 8.143 6.944 Å, 125.90 90.29 90.00°
Fractional coordinates of all 9 atoms:
Hg  0.996  0.189  0.732
Hg  0.996  0.544  0.732
Hg  0.004  0.811  0.268
Hg  0.500  0.789  0.000
Hg  0.500  0.211  0.000
Hg  0.004  0.456  0.268
Tb  0.495  0.247  0.494
Tb  0.505  0.753  0.506
Na  0.000  0.000  0.000

---

[8]
Entry from the Alexandria database: an optimized crystal structure of Na3TbHg4 (PBE-GGA).

Output
Magnetization   0.00 Bohr magnetons per cell
ΔH_f (0 K)   -0.274 eV/atom
Calculated density   8.41 g cm⁻³
Crystal system   monoclinic

Cell: 5.209 5.209 8.357 Å, 108.27 108.16 90.00°
Fractional coordinates of all 8 atoms:
Na  0.249  0.749  0.497
Na  0.751  0.251  0.503
Na  0.000  0.500  0.000
Tb  0.500  0.000  0.000
Hg  0.879  0.879  0.758
Hg  0.621  0.621  0.242
Hg  0.379  0.379  0.758
Hg  0.121  0.121  0.242

---

[9]
Entry from the Alexandria database: an optimized crystal structure of Na2Tb2Hg3 (PBE-GGA).

Output
Magnetization   0.00 Bohr magnetons per cell
ΔH_f (0 K)   -0.332 eV/atom
Calculated density   8.08 g cm⁻³
Crystal system   orthorhombic

Cell: 3.737 3.690 14.508 Å, 90.00 82.60 90.00°
Fractional coordinates of all 7 atoms:
Hg  0.128  0.000  0.744
Hg  0.872  0.000  0.256
Hg  0.000  0.000  0.000
Na  0.694  0.500  0.611
Na  0.306  0.500  0.389
Tb  0.565  0.500  0.869
Tb  0.435  0.500  0.131

---

[10]
Entry from the Alexandria database: an optimized crystal structure of NaTb5Hg4 (PBE-GGA).

Output
Magnetization   1.16 Bohr magnetons per cell
ΔH_f (0 K)   -0.312 eV/atom
Calculated density   9.80 g cm⁻³
Crystal system   tetragonal

Cell: 3.775 3.775 19.264 Å, 90.00 90.00 90.00°
Fractional coordinates of all 10 atoms:
Tb  0.500  0.500  0.500
Tb  0.500  0.500  0.875
Tb  0.500  0.500  0.125
Tb  0.500  0.500  0.689
Tb  0.500  0.500  0.311
Na  0.000  0.000  0.000
Hg  0.000  0.000  0.211
Hg  0.000  0.000  0.404
Hg  0.000  0.000  0.789
Hg  0.000  0.000  0.596

---

[11]
Entry from the Alexandria database: an optimized crystal structure of NaTbHg6 (PBE-GGA).

Output
Magnetization   0.00 Bohr magnetons per cell
ΔH_f (0 K)   -0.266 eV/atom
Calculated density   11.78 g cm⁻³
Crystal system   orthorhombic

Cell: 5.161 6.609 6.609 Å, 119.98 90.00 90.00°
Fractional coordinates of all 8 atoms:
Hg  0.500  0.916  0.084
Hg  0.500  0.915  0.581
Hg  0.000  0.081  0.415
Hg  0.000  0.585  0.919
Hg  0.500  0.419  0.085
Hg  0.000  0.584  0.416
Tb  0.000  0.084  0.916
Na  0.500  0.416  0.584

---

[12]
Entry from the Alexandria database: an optimized crystal structure of NaTb2Hg6 (PBE-GGA).

Output
Magnetization   0.00 Bohr magnetons per cell
Relative energy among the computed polymorphs   0.0 meV/atom
ΔH_f (0 K)   -0.320 eV/atom
Calculated density   11.65 g cm⁻³
Crystal system   hexagonal

Cell: 3.365 8.691 8.691 Å, 120.00 90.00 90.00°
Fractional coordinates of all 9 atoms:
Na  0.000  0.000  0.000
Hg  0.500  0.000  0.332
Hg  0.500  0.332  0.000
Hg  0.500  0.668  0.000
Hg  0.500  0.332  0.332
Hg  0.500  0.000  0.668
Hg  0.500  0.668  0.668
Tb  0.000  0.333  0.667
Tb  0.000  0.667  0.333